NaMnPb2O4 | PBE+U | optimized geometry

M_tot = 4.4 μB/f.u.
calculated total energy = -5.662 eV per atom

The structure in POSCAR format:
```
NaMnPb2O4
1.0
-2.7938 -2.7788 5.7077
6.1972 -2.4739 1.8920
-0.8294 6.8394 -1.4079
Na Pb O Mn
2 4 8 2
Cartesian
3.0986 -1.2369 0.9460
-0.1100 -0.5960 5.9498
1.7017 -2.6263 3.7999
-1.8116 2.0303 2.1499
-0.4147 3.4197 -0.7040
-1.3969 -1.3894 2.8539
0.4304 1.8965 1.2530
-1.5655 4.1145 3.3514
2.1436 -0.3098 4.9389
1.7801 2.6920 4.3223
4.1394 -2.5278 2.8406
-0.8239 0.7059 3.9165
3.3978 0.8808 2.2753
0.7939 -1.1053 1.8696
1.2870 0.7934 3.0959
-3.6233 4.0606 4.2998
```